Entry 1:
A plane-wave DFT calculation with GGA-PBE was carried out for a relaxed structure of TeRh2C.

density = 9.8 g/cm3
distance to the lowest polymorph of the same formula = 0.834 eV per atom
SG = No. 225
formation energy (no corrections) = 1.059 eV/atom

a = 4.3608 Å, b = 4.3608 Å, c = 4.3608 Å
α = 60.00°, β = 60.00°, γ = 60.00°
With the nearest neighbours (Å) after each atom.
Fractional positions:
Te 0.0000 0.0000 0.0000  8 Rh 2.67
Rh 0.2500 0.2500 0.2500  4 Te 2.67, 4 C 2.67
Rh 0.7500 0.7500 0.7500  4 Te 2.67, 4 C 2.67
C 0.5000 0.5000 0.5000  8 Rh 2.67

***

Entry 2:
A plane-wave DFT calculation with GGA-PBE was carried out for a relaxed structure of ZnTeRhC2.

density = 5.9 g/cm3
SG = No. 123
formation energy (no corrections) = 1.308 eV/atom

a = 3.9189 Å, b = 3.9189 Å, c = 5.8646 Å
α = 90.00°, β = 90.00°, γ = 90.00°
With the nearest neighbours (Å) after each atom.
Fractional positions:
Zn 0.0000 0.0000 0.0000  4 Te 2.77
Te 0.5000 0.5000 0.0000  4 Zn 2.77, 2 Rh 2.93
Rh 0.5000 0.5000 0.5000  4 C 1.96
C 0.0000 0.5000 0.5000  2 Rh 1.96
C 0.5000 0.0000 0.5000  2 Rh 1.96

***

Entry 3:
A plane-wave DFT calculation with GGA-PBE was carried out for a relaxed structure of ThRhC.

density = 10.9 g/cm3
SG = No. 129
ΔE_f = -163 meV/atom

a = 3.6856 Å, b = 3.6856 Å, c = 7.8077 Å
α = 90.00°, β = 90.00°, γ = 90.00°
With the nearest neighbours (Å) after each atom.
Fractional positions:
Th 0.2500 0.2500 0.1782  5 C 2.51-2.62
Th 0.7500 0.7500 0.8218  5 C 2.51-2.62
Rh 0.2500 0.2500 0.5949  1 C 2.04
Rh 0.7500 0.7500 0.4051  1 C 2.04
C 0.2500 0.2500 0.8563  1 Rh 2.04
C 0.7500 0.7500 0.1437  1 Rh 2.04

***

Entry 4:
A plane-wave DFT calculation with GGA-PBE was carried out for a relaxed structure of ThRh6C.

density = 11.0 g/cm3
SG = No. 166
ΔE_f = -185 meV/atom

a = 5.8479 Å, b = 5.8479 Å, c = 5.8479 Å
α = 56.63°, β = 56.63°, γ = 56.63°
With the nearest neighbours (Å) after each atom.
Fractional positions:
Th 0.0000 0.0000 0.0000  12 Rh 3.06
Rh 0.0755 0.5942 0.5942  1 C 2.02
Rh 0.4058 0.4058 0.9245  1 C 2.02
Rh 0.4058 0.9245 0.4058  1 C 2.02
Rh 0.5942 0.0755 0.5942  1 C 2.02
Rh 0.5942 0.5942 0.0755  1 C 2.02
Rh 0.9245 0.4058 0.4058  1 C 2.02
C 0.5000 0.5000 0.5000  6 Rh 2.02

***

Entry 5:
A plane-wave DFT calculation with GGA-PBE was carried out for a relaxed structure of Ti6Rh3C.

density = 6.5 g/cm3
SG = No. 14
ΔE_f = -494 meV/atom

a = 5.3517 Å, b = 6.9335 Å, c = 9.6898 Å
α = 90.00°, β = 120.50°, γ = 90.00°
With the nearest neighbours (Å) after each atom.
Fractional positions:
Ti 0.0734 0.0653 0.2325  1 C 2.13
Ti 0.0734 0.4347 0.7325  1 C 2.13
Ti 0.2188 0.7328 0.0747  1 C 2.11
Ti 0.2188 0.7672 0.5747  1 C 2.11
Ti 0.3803 0.1417 0.0464  1 C 2.09
Ti 0.3803 0.3583 0.5464  1 C 2.09
Ti 0.6197 0.6417 0.4536  1 C 2.09
Ti 0.6197 0.8583 0.9536  1 C 2.09
Ti 0.7812 0.2328 0.4253  1 C 2.11
Ti 0.7812 0.2672 0.9253  1 C 2.11
Ti 0.9266 0.5653 0.2675  1 C 2.13
Ti 0.9266 0.9347 0.7675  1 C 2.13
Rh 0.3108 0.0955 0.7193  6 Ti 2.58-2.71, 1 Rh 2.86
Rh 0.3108 0.4045 0.2193  6 Ti 2.58-2.71, 1 Rh 2.86
Rh 0.5000 0.0000 0.5000  6 Ti 2.48-2.66
Rh 0.5000 0.5000 0.0000  6 Ti 2.48-2.66
Rh 0.6892 0.5955 0.7807  6 Ti 2.58-2.71, 1 Rh 2.86
Rh 0.6892 0.9045 0.2807  6 Ti 2.58-2.71, 1 Rh 2.86
C 0.0000 0.0000 0.0000  6 Ti 2.09-2.13
C 0.0000 0.5000 0.5000  6 Ti 2.09-2.13

***

Entry 6:
A plane-wave DFT calculation with GGA-PBE was carried out for a relaxed structure of Ti2RhC.

density = 6.8 g/cm3
SG = No. 166
ΔE_f = -716 meV/atom

a = 6.8566 Å, b = 6.8566 Å, c = 6.8566 Å
α = 25.24°, β = 25.24°, γ = 25.24°
With the nearest neighbours (Å) after each atom.
Fractional positions:
Ti 0.2277 0.2277 0.2277  3 C 2.11
Ti 0.7723 0.7723 0.7723  3 C 2.11
Rh 0.0000 0.0000 0.0000  6 Ti 2.72, 6 Rh 3.00
C 0.5000 0.5000 0.5000  6 Ti 2.11

***

Entry 7:
A plane-wave DFT calculation with GGA-PBE was carried out for a relaxed structure of Ti8Rh2C3.

density = 5.3 g/cm3
SG = No. 12
ΔE_f = -447 meV/atom

a = 6.7267 Å, b = 6.7267 Å, c = 5.5735 Å
α = 106.22°, β = 106.22°, γ = 54.88°
With the nearest neighbours (Å) after each atom.
Fractional positions:
Ti 0.1018 0.1018 0.9011  3 C 2.13-2.18
Ti 0.1327 0.6647 0.6115  2 C 2.10-2.12
Ti 0.3353 0.8673 0.3885  2 C 2.10-2.12
Ti 0.3846 0.3846 0.0214  2 C 2.12
Ti 0.6154 0.6154 0.9786  2 C 2.12
Ti 0.6647 0.1327 0.6115  2 C 2.10-2.12
Ti 0.8673 0.3353 0.3885  2 C 2.10-2.12
Ti 0.8982 0.8982 0.0989  3 C 2.13-2.18
Rh 0.2668 0.2668 0.3184  6 Ti 2.49-2.58
Rh 0.7332 0.7332 0.6816  6 Ti 2.49-2.58
C 0.0000 0.0000 0.5000  6 Ti 2.10-2.18
C 0.2471 0.7529 0.0000  6 Ti 2.12-2.13
C 0.7529 0.2471 0.0000  6 Ti 2.12-2.13

***

Entry 8:
A plane-wave DFT calculation with GGA-PBE was carried out for a relaxed structure of Ti8RhC2.

density = 5.5 g/cm3
SG = No. 12
ΔE_f = -327 meV/atom

a = 6.2284 Å, b = 6.2284 Å, c = 4.3902 Å
α = 97.00°, β = 97.00°, γ = 111.60°
With the nearest neighbours (Å) after each atom.
Fractional positions:
Ti 0.0763 0.3367 0.5722  2 C 2.25-2.29
Ti 0.2471 0.7529 0.0000  2 C 2.27, 1 Rh 2.55
Ti 0.3367 0.0763 0.5722  2 C 2.25-2.29
Ti 0.4037 0.4037 0.2009  2 C 2.41, 2 Ti 2.44-2.68
Ti 0.5963 0.5963 0.7991  2 C 2.41, 2 Ti 2.44-2.68
Ti 0.6633 0.9237 0.4278  2 C 2.25-2.29
Ti 0.7529 0.2471 0.0000  2 C 2.27, 1 Rh 2.55
Ti 0.9237 0.6633 0.4278  2 C 2.25-2.29
Rh 0.0000 0.0000 0.0000  4 Ti 2.55-2.77
C 0.3050 0.6950 0.5000  8 Ti 2.25-2.41
C 0.6950 0.3050 0.5000  8 Ti 2.25-2.41